Below is a geometry-optimized Li2MnHg structure, with properties calculated at the GGA-PBE level.

The space group is Pm (No. 6) and the conventional cell measures 2.849, 4.417 and 5.584 Å, with angles of 90.00, 103.94 and 90.00 degrees. Symmetry generates all atoms from Li at (0.000, 0.000, 0.000), Li at (0.320, 0.500, 0.245), Mn at (0.859, 0.000, 0.498) and Hg at (0.455, 0.500, 0.750).

As for the total energy: -3.224 eV/atom.



Below is a geometry-optimized LiCdOs2 structure, with properties calculated at the GGA-PBE level.

The space group is I4/mmm (No. 139) and the conventional cell measures 3.674, 3.674 and 9.136 Å, with angles of 90.00, 90.00 and 90.00 degrees. Symmetry generates all atoms from Li at (0.000, 0.000, 0.000), Cd at (0.000, 0.000, 0.500) and Os at (0.000, 0.500, 0.250).

As for the total energy: -5.808 eV/atom.



Below is a geometry-optimized Sr2BPdPb structure, with properties calculated at the GGA-PBE level.

The space group is P4/mmm (No. 123) and the conventional cell measures 5.781, 5.781 and 5.114 Å, with angles of 90.00, 90.00 and 90.00 degrees. Symmetry generates all atoms from Sr at (0.000, 0.500, 0.000), B at (0.000, 0.000, 0.500), Pd at (0.500, 0.500, 0.000) and Pb at (0.500, 0.500, 0.500).

As for the total energy: -3.284 eV/atom.



Below is a geometry-optimized CoAg2Br5 structure, with properties calculated at the GGA-PBE level.

The space group is Cmcm (No. 63) and the conventional cell measures 5.155, 13.690 and 12.875 Å, with angles of 90.00, 90.00 and 90.00 degrees. Symmetry generates all atoms from Co at (0.000, 0.192, 0.250), Ag at (0.000, 0.142, 0.572), Br at (0.000, 0.066, 0.122), Br at (0.000, 0.281, 0.750) and Br at (0.000, 0.316, 0.115).

As for the total energy: -2.881 eV/atom. The raw formation energy comes out at -0.2342 eV per atom. The excess energy over the best structure of this formula in the dataset comes out at 0.376 eV per formula unit.